# 1
Density functional theory data (PBE) for a relaxed structure of K4CuP2.

magnetization = 0.152 μB per atom
uncorrected energy = -0.1116 hartree per atom

```
data_K4CuP2
_chemical_formula_sum 'K12 Cu3 P6'
_cell_length_a 5.5873
_cell_length_b 5.5873
_cell_length_c 26.4292
_cell_angle_alpha 90.00
_cell_angle_beta 90.00
_cell_angle_gamma 120.00
_space_group_name_H-M_alt 'R -3 m'
_space_group_IT_number 166
_space_group_name_Hall '-R 3 2"'
loop_
_atom_site_label
_atom_site_fract_x
_atom_site_fract_y
_atom_site_fract_z
_atom_site_occupancy
K1 0.0000 0.0000 0.1215 1
K2 0.0000 0.0000 0.2922 1
Cu1 0.0000 0.0000 0.5000 1
P1 0.0000 0.0000 0.4177 1
```

# 2
Density functional theory data (PBE) for a relaxed structure of K5CuP2.

magnetization = 0.000 μB per atom
uncorrected energy = -0.1044 hartree per atom

```
data_K5CuP2
_chemical_formula_sum 'K10 Cu2 P4'
_cell_length_a 5.6858
_cell_length_b 5.6858
_cell_length_c 18.3614
_cell_angle_alpha 90.00
_cell_angle_beta 90.00
_cell_angle_gamma 120.00
_space_group_name_H-M_alt 'P 63/m m c'
_space_group_IT_number 194
_space_group_name_Hall '-P 6c 2c'
loop_
_atom_site_label
_atom_site_fract_x
_atom_site_fract_y
_atom_site_fract_z
_atom_site_occupancy
K1 0.0000 0.0000 0.1442 1
K2 0.3333 0.6667 0.0488 1
K3 0.3333 0.6667 0.2500 1
Cu1 0.3333 0.6667 0.7500 1
P1 0.3333 0.6667 0.6283 1
```

# 3
Density functional theory data (PBE) for a relaxed structure of KCu6P2.

magnetization = 0.000 μB per atom
uncorrected energy = -0.1541 hartree per atom

```
data_KCu6P2
_chemical_formula_sum 'K1 Cu6 P2'
_cell_length_a 4.115
_cell_length_b 4.115
_cell_length_c 8.763
_cell_angle_alpha 90.00
_cell_angle_beta 90.00
_cell_angle_gamma 90.00
_space_group_name_H-M_alt 'P 4/m m m'
_space_group_IT_number 123
_space_group_name_Hall '-P 4 2'
loop_
_atom_site_label
_atom_site_fract_x
_atom_site_fract_y
_atom_site_fract_z
_atom_site_occupancy
K1 0.000 0.000 0.000 1
Cu1 0.000 0.000 0.500 1
Cu2 0.000 0.500 0.328 1
Cu3 0.500 0.500 0.500 1
P1 0.500 0.500 0.218 1
```

# 4
Density functional theory data (PBE) for a relaxed structure of K2Cu2P.

magnetization = 0.000 μB per atom
polymorph energy (0 for the lowest one) = 0.0 meV per atom

```
data_K2Cu2P
_chemical_formula_sum 'K4 Cu4 P2'
_cell_length_a 6.416
_cell_length_b 6.416
_cell_length_c 5.320
_cell_angle_alpha 90.00
_cell_angle_beta 90.00
_cell_angle_gamma 90.00
_space_group_name_H-M_alt 'P 4/m b m'
_space_group_IT_number 127
_space_group_name_Hall '-P 4 2ab'
loop_
_atom_site_label
_atom_site_fract_x
_atom_site_fract_y
_atom_site_fract_z
_atom_site_occupancy
K1 0.186 0.314 0.000 1
Cu1 0.146 0.646 0.500 1
P1 0.000 0.000 0.500 1
```

# 5
Density functional theory data (PBE) for a relaxed structure of KCu3P.

magnetization = 0.000 μB per atom
polymorph energy (0 for the lowest one) = 1757.2 meV per atom

```
data_KCu3P
_chemical_formula_sum 'K1 Cu3 P1'
_cell_length_a 4.861
_cell_length_b 4.861
_cell_length_c 4.861
_cell_angle_alpha 90.00
_cell_angle_beta 90.00
_cell_angle_gamma 90.00
_space_group_name_H-M_alt 'P m -3 m'
_space_group_IT_number 221
_space_group_name_Hall '-P 4 2 3'
loop_
_atom_site_label
_atom_site_fract_x
_atom_site_fract_y
_atom_site_fract_z
_atom_site_occupancy
K1 0.000 0.000 0.000 1
Cu1 0.000 0.000 0.500 1
P1 0.500 0.500 0.500 1
```

# 6
Density functional theory data (PBE) for a relaxed structure of KCuP3.

magnetization = 0.000 μB per atom
polymorph energy (0 for the lowest one) = 1733.0 meV per atom

```
data_KCuP3
_chemical_formula_sum 'K1 Cu1 P3'
_cell_length_a 5.254
_cell_length_b 5.254
_cell_length_c 5.254
_cell_angle_alpha 90.00
_cell_angle_beta 90.00
_cell_angle_gamma 90.00
_space_group_name_H-M_alt 'P m -3 m'
_space_group_IT_number 221
_space_group_name_Hall '-P 4 2 3'
loop_
_atom_site_label
_atom_site_fract_x
_atom_site_fract_y
_atom_site_fract_z
_atom_site_occupancy
K1 0.000 0.000 0.000 1
Cu1 0.500 0.500 0.500 1
P1 0.000 0.000 0.500 1
```

# 7
Density functional theory data (PBE) for a relaxed structure of KCu2P2.

magnetization = 0.000 μB per atom
uncorrected energy = -0.1423 hartree per atom

```
data_KCu2P2
_chemical_formula_sum 'K2 Cu4 P4'
_cell_length_a 7.939
_cell_length_b 7.939
_cell_length_c 2.730
_cell_angle_alpha 90.00
_cell_angle_beta 90.00
_cell_angle_gamma 90.00
_space_group_name_H-M_alt 'P 4/m b m'
_space_group_IT_number 127
_space_group_name_Hall '-P 4 2ab'
loop_
_atom_site_label
_atom_site_fract_x
_atom_site_fract_y
_atom_site_fract_z
_atom_site_occupancy
K1 0.000 0.000 0.000 1
Cu1 0.119 0.381 0.500 1
P1 0.143 0.643 0.000 1
```

# 8
Density functional theory data (PBE) for a relaxed structure of KCu3P3.

magnetization = 0.000 μB per atom
uncorrected energy = -0.1576 hartree per atom

```
data_KCu3P3
_chemical_formula_sum 'K2 Cu6 P6'
_cell_length_a 6.457
_cell_length_b 6.457
_cell_length_c 6.457
_cell_angle_alpha 90.00
_cell_angle_beta 90.00
_cell_angle_gamma 90.00
_space_group_name_H-M_alt 'P m -3 n'
_space_group_IT_number 223
_space_group_name_Hall '-P 4n 2 3'
loop_
_atom_site_label
_atom_site_fract_x
_atom_site_fract_y
_atom_site_fract_z
_atom_site_occupancy
K1 0.000 0.000 0.000 1
Cu1 0.000 0.250 0.500 1
P1 0.000 0.500 0.250 1
```